This record from Alexandria describes a geometry-optimized TaCoPb2 structure. The functional is PBE.

* E above lowest polymorph: 528 meV per atom
* SG: I-4m2
* total DFT energy (no corrections): -46.88 eV for the cell shown
* crystal system: tetragonal

Cell: 4.0868 4.0868 9.6368 Å, 90.00 90.00 90.00°
With the nearest neighbours (Å) after each atom.
Sites, in units of the cell vectors:
1 Ta 0.0000 0.0000 0.0000  8 Pb 2.89-3.16, 4 Co 3.16
2 Ta 0.5000 0.5000 0.5000  8 Pb 2.89-3.16, 4 Co 3.16
3 Co 0.0000 0.5000 0.7500  8 Pb 2.89-3.16, 4 Ta 3.16
4 Co 0.5000 0.0000 0.2500  8 Pb 2.89-3.16, 4 Ta 3.16
5 Pb 0.0000 0.0000 0.5000  4 Ta 2.89, 4 Pb 3.16, 4 Co 3.16
6 Pb 0.0000 0.5000 0.2500  4 Co 2.89, 4 Ta 3.16, 4 Pb 3.16
7 Pb 0.5000 0.0000 0.7500  4 Co 2.89, 4 Ta 3.16, 4 Pb 3.16
8 Pb 0.5000 0.5000 0.0000  4 Ta 2.89, 4 Pb 3.16, 4 Co 3.16